DFT (PBE) results for a geometry-optimized Tm2PS structure.

Lattice parameters (Å, degrees): 3.891 3.891 5.497 90.00 90.00 90.00
Fractional coordinates of all 4 atoms:
P 0.000 0.000 0.500
S 0.500 0.500 0.000
Tm 0.000 0.000 0.000
Tm 0.500 0.500 0.500

Calculated values
* final energy: -6.46 eV/atom
* space-group type: P4/mmm (123)